A geometry-optimized BaScCr2H structure, computed with GGA-PBEsol.

Cell: 3.924 5.579 5.579 Å, 90.00 90.00 90.00°
Fractional coordinates of all 5 atoms:
Cr1 0.000 0.500 0.000
Cr2 0.000 0.000 0.500
Sc1 0.500 0.500 0.500
H1 0.500 0.000 0.000
Ba1 0.000 0.000 0.000

Output
- electronic total energy (eV/atom) = -4.899



A geometry-optimized Nd2GaCo2 structure, computed with GGA-PBEsol.

Cell: 4.044 5.398 5.456 Å, 119.65 111.75 90.00°
Fractional coordinates of all 5 atoms:
Co1 0.500 0.716 0.000
Co2 0.500 0.284 0.000
Ga1 0.000 0.000 0.000
Nd1 0.205 0.705 0.410
Nd2 0.795 0.295 0.590

Output
- electronic total energy (eV/atom) = -6.121



A geometry-optimized SrReAgCl2 structure, computed with GGA-PBEsol.

Cell: 5.309 5.309 6.626 Å, 90.00 90.00 90.00°
Fractional coordinates of all 5 atoms:
Sr1 0.000 0.000 0.000
Cl1 0.500 0.000 0.000
Cl2 0.000 0.500 0.000
Ag1 0.500 0.500 0.500
Re1 0.000 0.000 0.500

Output
- electronic total energy (eV/atom) = -3.722



A geometry-optimized AgO2F structure, computed with GGA-PBEsol.

Cell: 4.797 4.646 4.646 Å, 85.73 90.00 90.00°
Fractional coordinates of all 8 atoms:
Ag1 0.500 0.718 0.718
Ag2 0.000 0.282 0.282
F1 0.750 0.365 0.635
F2 0.250 0.635 0.365
O1 0.279 0.230 0.956
O2 0.721 0.956 0.230
O3 0.221 0.044 0.770
O4 0.779 0.770 0.044

Output
- polymorph energy (0 for the lowest one) (meV per atom) = 0
- electronic total energy (eV/atom) = -4.358



A geometry-optimized TiSbS2Cl structure, computed with GGA-PBEsol.

Cell: 4.558 4.738 4.738 Å, 90.00 90.00 90.00°
Fractional coordinates of all 5 atoms:
Sb1 0.500 0.500 0.500
Ti1 0.000 0.000 0.000
Cl1 0.500 0.000 0.000
S1 0.000 0.000 0.500
S2 0.000 0.500 0.000

Output
- electronic total energy (eV/atom) = -5.257



A geometry-optimized Al3As structure, computed with GGA-PBEsol.

Cell: 4.560 6.054 5.924 Å, 59.27 90.00 90.00°
Fractional coordinates of all 8 atoms:
As1 0.250 0.361 0.277
As2 0.750 0.639 0.723
Al1 0.750 0.593 0.300
Al2 0.750 0.076 0.847
Al3 0.250 0.407 0.700
Al4 0.250 0.924 0.153
Al5 0.250 0.894 0.700
Al6 0.750 0.106 0.300

Output
- polymorph energy (0 for the lowest one) (meV per atom) = 0
- electronic total energy (eV/atom) = -4.283



A geometry-optimized Zn2InCo structure, computed with GGA-PBEsol.

Cell: 2.907 2.907 7.241 Å, 90.00 90.00 90.00°
Fractional coordinates of all 4 atoms:
Zn1 0.000 0.000 0.814
Zn2 0.000 0.000 0.186
Co1 0.500 0.500 0.000
In1 0.500 0.500 0.500

Output
- electronic total energy (eV/atom) = -3.376



A geometry-optimized KBe2Tc structure, computed with GGA-PBEsol.

Cell: 4.433 4.433 4.433 Å, 60.00 60.00 60.00°
Fractional coordinates of all 4 atoms:
Tc1 0.500 0.500 0.500
K1 0.000 0.000 0.000
Be1 0.750 0.750 0.750
Be2 0.250 0.250 0.250

Output
- polymorph energy (0 for the lowest one) (meV per atom) = 756
- electronic total energy (eV/atom) = -3.670